# 1
DFT (PBE-GGA) results for a relaxed structure of LiUCdO5.

abc: 6.5078 9.7312 8.0226
angles: 90.00 113.16 90.00
With the nearest neighbours (Å) after each atom.
Space group C2/c (No. 15)
One atom of each set of equivalent atoms:
Li (0.0000, 0.0563, 0.2500) (multiplicity 4)  4 O 1.96-1.98
U (0.2500, 0.2500, 0.0000) (multiplicity 4)  4 O 1.94-2.07
Cd (0.0000, 0.4184, 0.2500) (multiplicity 4)  3 O 2.14-2.32
O (0.0000, 0.3434, 0.7500) (multiplicity 4)  2 U 2.22, 1 Cd 2.32
O (0.0093, 0.1887, 0.0664) (multiplicity 8)  1 U 1.94, 1 Li 1.98
O (0.2497, 0.0710, 0.8598) (multiplicity 8)  1 Li 1.96, 1 U 2.07, 1 Cd 2.14

Results
- density of states at the Fermi level (states/eV/f.u.) = 6.4
- energy (eV per atom) = -6.924

=====

# 2
DFT (PBE-GGA) results for a relaxed structure of TaFeP2.

abc: 2.7798 2.7798 7.9519
angles: 90.00 90.00 90.00
With the nearest neighbours (Å) after each atom.
Space group P4mm (No. 99)
One atom of each set of equivalent atoms:
Ta (0.0000, 0.0000, 0.0000) (multiplicity 1)  4 P 2.73, 4 Fe 2.74, 4 Ta 2.78
Fe (0.5000, 0.5000, 0.2407) (multiplicity 1)  4 P 2.29
P (0.0000, 0.0000, 0.3875) (multiplicity 1)  4 Fe 2.29
P (0.5000, 0.5000, 0.7616) (multiplicity 1)  4 Ta 2.73, 4 P 2.78

Results
- formation energy from the elements (eV per atom) = -0.12
- density of states at the Fermi level (states/eV/f.u.) = 2.1

=====

# 3
DFT (PBE-GGA) results for a relaxed structure of SmErPu.

abc: 3.5328 3.5328 8.5476
angles: 90.00 90.00 120.00
With the nearest neighbours (Å) after each atom.
Space group P3m1 (No. 156)
One atom of each set of equivalent atoms:
Sm (0.0000, 0.0000, 0.0000) (multiplicity 1)  3 Pu 3.51, 6 Sm 3.53, 3 Er 3.54
Er (0.3333, 0.6667, 0.6608) (multiplicity 1)  3 Pu 3.45, 6 Er 3.53, 3 Sm 3.54
Pu (0.6667, 0.3333, 0.3348) (multiplicity 1)  3 Er 3.45, 3 Sm 3.51, 6 Pu 3.53

Results
- formation energy from the elements (eV per atom) = 0.13
- density of states at the Fermi level (states/eV/f.u.) = 8.7

=====

# 4
DFT (PBE-GGA) results for a relaxed structure of PmPrDyIn.

abc: 7.8757 7.8757 7.8757
angles: 90.00 90.00 90.00
With the nearest neighbours (Å) after each atom.
Space group F-43m (No. 216)
One atom of each set of equivalent atoms:
Pm (0.0000, 0.0000, 0.0000) (multiplicity 4)  4 Dy 3.41, 4 In 3.41
Pr (0.0000, 0.0000, 0.5000) (multiplicity 4)  4 In 3.41, 4 Dy 3.41
Dy (0.2500, 0.2500, 0.7500) (multiplicity 4)  4 Pr 3.41, 4 Pm 3.41
In (0.2500, 0.2500, 0.2500) (multiplicity 4)  4 Pr 3.41, 4 Pm 3.41

Results
- formation energy from the elements (eV per atom) = -0.15
- density of states at the Fermi level (states/eV/f.u.) = 7.0

=====

# 5
DFT (PBE-GGA) results for a relaxed structure of Tl3Ge5F12.

abc: 14.7032 14.7032 14.7032
angles: 90.00 90.00 90.00
With the nearest neighbours (Å) after each atom.
Space group Ia-3d (No. 230)
One atom of each set of equivalent atoms:
Tl (0.0000, 0.2500, 0.1250) (multiplicity 24)  8 F 3.00-3.01
Ge (0.0000, 0.0000, 0.0000) (multiplicity 16)  6 F 2.28
Ge (0.0000, 0.2500, 0.3750) (multiplicity 24)  4 F 2.16
F (0.0408, 0.0506, 0.6409) (multiplicity 96)  2 Ge 2.16-2.28

Results
- density of states at the Fermi level (states/eV/f.u.) = 6.1
- energy (eV per atom) = -4.381

=====

# 6
DFT (PBE-GGA) results for a relaxed structure of NaHgF4.

abc: 6.5994 4.5859 6.5757
angles: 90.00 114.86 90.00
With the nearest neighbours (Å) after each atom.
Space group C2/m (No. 12)
One atom of each set of equivalent atoms:
Na (0.0000, 0.0000, 0.0000) (multiplicity 2)  4 F 2.36-2.39
Hg (0.0000, 0.5000, 0.5000) (multiplicity 2)  4 F 2.11-2.14
F (0.1013, 0.5000, 0.8505) (multiplicity 4)  1 Hg 2.11
F (0.1465, 0.0000, 0.3954) (multiplicity 4)  1 Hg 2.14, 1 Na 2.36

Results
- density of states at the Fermi level (states/eV/f.u.) = 0.3
- energy (eV per atom) = -3.210

=====

# 7
DFT (PBE-GGA) results for a relaxed structure of LiTlPbAu.

abc: 7.1686 7.1686 7.1686
angles: 90.00 90.00 90.00
With the nearest neighbours (Å) after each atom.
Space group F-43m (No. 216)
One atom of each set of equivalent atoms:
Li (0.0000, 0.0000, 0.0000) (multiplicity 4)  4 Tl 3.10, 4 Pb 3.10
Tl (0.2500, 0.2500, 0.7500) (multiplicity 4)  4 Li 3.10, 4 Au 3.10
Pb (0.2500, 0.2500, 0.2500) (multiplicity 4)  4 Li 3.10, 4 Au 3.10
Au (0.0000, 0.0000, 0.5000) (multiplicity 4)  4 Tl 3.10, 4 Pb 3.10

Results
- formation energy from the elements (eV per atom) = -0.14
- density of states at the Fermi level (states/eV/f.u.) = 2.6

=====

# 8
DFT (PBE-GGA) results for a relaxed structure of BaTb2Ir.

abc: 4.0879 4.0879 32.4722
angles: 90.00 90.00 120.00
With the nearest neighbours (Å) after each atom.
Space group R-3m (No. 166, hexagonal axes)
One atom of each set of equivalent atoms:
Ba (0.0000, 0.0000, 0.0000) (multiplicity 3)  2 Tb 3.97, 6 Ba 4.09
Tb (0.0000, 0.0000, 0.1224) (multiplicity 6)  3 Ir 2.76
Ir (0.0000, 0.0000, 0.5000) (multiplicity 3)  6 Tb 2.76

Results
- formation energy from the elements (eV per atom) = -0.29
- density of states at the Fermi level (states/eV/f.u.) = 4.4

=====

# 9
DFT (PBE-GGA) results for a relaxed structure of Cd2CuTe.

abc: 4.4603 4.4603 8.9497
angles: 90.00 90.00 90.00
With the nearest neighbours (Å) after each atom.
Space group I-4m2 (No. 119)
One atom of each set of equivalent atoms:
Cd (0.0000, 0.0000, 0.0000) (multiplicity 2)  4 Te 3.15, 4 Cd 3.16, 4 Cu 3.16
Cd (0.0000, 0.5000, 0.2500) (multiplicity 2)  4 Cu 3.15, 4 Cd 3.16, 4 Te 3.16
Cu (0.0000, 0.5000, 0.7500) (multiplicity 2)  8 Cd 3.15-3.16, 4 Te 3.16
Te (0.0000, 0.0000, 0.5000) (multiplicity 2)  8 Cd 3.15-3.16, 4 Cu 3.16

Results
- density of states at the Fermi level (states/eV/f.u.) = 1.8
- energy (eV per atom) = -2.043

=====

# 10
DFT (PBE-GGA) results for a relaxed structure of AcZnCu2Ni.

abc: 4.0599 4.2088 10.7180
angles: 90.00 90.00 90.00
With the nearest neighbours (Å) after each atom.
Space group Imm2 (No. 44)
One atom of each set of equivalent atoms:
Ac (0.0000, 0.0000, 0.0000) (multiplicity 2)  4 Ni 3.15, 8 Cu 3.21-3.49, 4 Zn 3.35-3.42
Zn (0.0000, 0.5000, 0.7565) (multiplicity 2)  2 Ni 2.49, 2 Cu 2.54
Cu (0.0000, 0.0000, 0.6230) (multiplicity 2)  1 Ni 2.49, 2 Cu 2.51, 2 Zn 2.54
Cu (0.0000, 0.5000, 0.2600) (multiplicity 2)  2 Cu 2.51, 2 Ni 2.53
Ni (0.0000, 0.0000, 0.3911) (multiplicity 2)  3 Cu 2.49-2.53, 2 Zn 2.49

Results
- formation energy from the elements (eV per atom) = -0.19
- density of states at the Fermi level (states/eV/f.u.) = 3.0

=====

# 11
DFT (PBE-GGA) results for a relaxed structure of Ac2CuPd6Pb.

abc: 5.8048 5.8089 8.9546
angles: 71.08 89.97 60.07
With the nearest neighbours (Å) after each atom.
Space group P-1 (No. 2)
One atom of each set of equivalent atoms:
Ac (0.2075, 0.0845, 0.1244) (multiplicity 2)  6 Pd 3.05
Cu (0.5000, 0.5000, 0.0000) (multiplicity 1)  6 Pd 2.57
Pd (0.2472, 0.5096, 0.2351) (multiplicity 2)  1 Cu 2.57, 1 Pb 2.77, 1 Pd 2.87
Pd (0.2573, 0.9860, 0.7634) (multiplicity 2)  1 Cu 2.57, 1 Pb 2.77, 2 Pd 2.87-2.88
Pd (0.2581, 0.4909, 0.7642) (multiplicity 2)  1 Cu 2.57, 1 Pb 2.77, 2 Pd 2.87
Pb (0.0000, 0.5000, 0.5000) (multiplicity 1)  6 Pd 2.77

Results
- formation energy from the elements (eV per atom) = -0.47
- density of states at the Fermi level (states/eV/f.u.) = 4.3

=====

# 12
DFT (PBE-GGA) results for a relaxed structure of Nd3Ho6In.

abc: 12.9806 3.5595 14.5110
angles: 90.00 108.81 90.00
With the nearest neighbours (Å) after each atom.
Space group P2_1/m (No. 11)
One atom of each set of equivalent atoms:
Nd (0.0093, 0.2500, 0.3955) (multiplicity 2)  7 Ho 3.30-3.61, 1 In 3.33, 4 Nd 3.56-3.59
Nd (0.3777, 0.2500, 0.0008) (multiplicity 2)  7 Ho 3.38-3.72, 4 Nd 3.56-3.65
Nd (0.4662, 0.2500, 0.5922) (multiplicity 2)  4 Ho 3.27-3.62, 4 Nd 3.55-3.56
Ho (0.1350, 0.7500, 0.0228) (multiplicity 2)  3 In 3.32-3.43, 6 Ho 3.56-3.61, 2 Nd 3.72
Ho (0.1438, 0.2500, 0.8110) (multiplicity 2)  2 In 3.35, 3 Nd 3.38-3.50, 7 Ho 3.50-3.68
Ho (0.2174, 0.2500, 0.5994) (multiplicity 2)  4 Nd 3.27-3.46, 7 Ho 3.40-3.65
Ho (0.2491, 0.7500, 0.3910) (multiplicity 2)  6 Ho 3.51-3.65, 2 In 3.51, 5 Nd 3.61-3.78
Ho (0.3306, 0.2500, 0.2180) (multiplicity 2)  1 In 3.20, 1 Nd 3.40, 4 Ho 3.51-3.56
Ho (0.3834, 0.7500, 0.7895) (multiplicity 2)  7 Ho 3.40-3.75, 5 Nd 3.57-3.81
In (0.0762, 0.2500, 0.1927) (multiplicity 2)  8 Ho 3.20-3.51, 1 Nd 3.33, 2 In 3.56

Results
- formation energy from the elements (eV per atom) = -0.03
- density of states at the Fermi level (states/eV/f.u.) = 13.9